## Pm4Pu3S8 (PBE)

Data for a relaxed Pm4Pu3S8 crystal.

Results
E_tot: -8.2684 eV per atom
formation energy (no corrections): -186.59 kJ per mole of atoms
SG: C2/m (12)

abc: 7.9918 7.9918 7.9834
angles: 119.90 119.90 90.03
Last column: nearest neighbours and their distance in Å.
Element x y z (fractional)
Pm: 0.0000 0.0000 0.0000  6 S 2.83
Pm: 0.0000 0.5000 0.0000  6 S 2.82-2.83
Pm: 0.5000 0.0000 0.0000  6 S 2.82-2.83
Pm: 0.5000 0.5000 0.5000  6 S 2.84-2.86
Pu: 0.0000 0.0000 0.5000  6 S 2.79-2.82
Pu: 0.0000 0.5000 0.5000  6 S 2.82-2.83
Pu: 0.5000 0.0000 0.5000  6 S 2.82-2.83
S: 0.2472 0.7528 0.5000  3 Pu 2.79-2.82, 3 Pm 2.83-2.86
S: 0.2475 0.2475 0.5002  3 Pu 2.80-2.83, 2 Pm 2.83-2.85
S: 0.2498 0.2498 0.9979  1 Pu 2.82, 4 Pm 2.83-2.84
S: 0.2505 0.7495 0.0000  3 Pm 2.82-2.83, 2 Pu 2.83
S: 0.7495 0.2505 0.0000  3 Pm 2.82-2.83, 2 Pu 2.83
S: 0.7502 0.7502 0.0021  1 Pu 2.82, 4 Pm 2.83-2.84
S: 0.7525 0.7525 0.4998  3 Pu 2.80-2.83, 2 Pm 2.83-2.85
S: 0.7528 0.2472 0.5000  3 Pu 2.79-2.82, 3 Pm 2.83-2.86